(1)
ZnS2Br2 | SCAN | single point on PBEsol structure

Cell and atoms, written as POSCAR:
```
ZnS2Br2
1.0
-2.759 2.759 3.987
2.759 -2.759 3.987
2.759 2.759 -3.987
Zn S Br
1 2 2
Cartesian
0.000 0.000 0.000
0.000 0.000 3.061
0.000 0.000 4.914
2.759 0.000 1.994
0.000 2.759 1.994
```

Summary:
Density of states at the Fermi level = 0.564 states/eV per atom

***

(2)
Zr2SBr | SCAN | single point on PBEsol structure

Cell and atoms, written as POSCAR:
```
Zr2SBr
1.0
0.000 3.268 3.268
3.268 0.000 3.268
3.268 3.268 0.000
Zr S Br
2 1 1
Cartesian
1.634 1.634 1.634
4.901 4.901 4.901
0.000 0.000 0.000
3.268 3.268 3.268
```

Summary:
Density of states at the Fermi level = 0.616 states/eV per atom

***

(3)
Sb3Br | SCAN | single point on PBEsol structure

Cell and atoms, written as POSCAR:
```
Sb3Br
1.0
4.785 -2.000 0.000
4.785 2.000 0.000
-3.331 0.000 6.605
Sb Br
3 1
Cartesian
0.000 0.000 0.000
-0.557 0.000 5.424
6.795 0.000 1.181
3.119 0.000 3.303
```

Summary:
Energy above the most stable polymorph in this dataset = 0.00 eV/f.u.
Density of states at the Fermi level = 0.466 states/eV per atom

***

(4)
Sb3Br | SCAN | single point on PBEsol structure

Cell and atoms, written as POSCAR:
```
Sb3Br
1.0
-1.902 2.476 5.687
1.902 -2.476 5.687
1.902 2.476 -5.687
Sb Br
3 1
Cartesian
0.000 0.000 0.000
1.902 0.000 2.446
0.000 2.476 3.241
0.000 0.000 5.687
```

Summary:
Energy above the most stable polymorph in this dataset = 0.52 eV/f.u.
Density of states at the Fermi level = 0.533 states/eV per atom

***

(5)
SbBr | SCAN | single point on PBEsol structure

Cell and atoms, written as POSCAR:
```
SbBr
1.0
6.067 0.000 0.000
0.000 3.261 0.000
0.000 0.000 6.300
Sb Br
2 2
Cartesian
1.517 0.000 0.183
4.550 0.000 6.117
1.517 1.631 4.189
4.550 1.631 2.112
```

Summary:
Energy above the most stable polymorph in this dataset = 0.60 eV/f.u.
Density of states at the Fermi level = 0.275 states/eV per atom

***

(6)
Sb3Br | SCAN | single point on PBEsol structure

Cell and atoms, written as POSCAR:
```
Sb3Br
1.0
5.948 0.000 0.000
0.000 5.948 0.000
0.000 0.000 5.948
Sb Br
6 2
Cartesian
0.000 1.487 2.974
0.000 4.461 2.974
1.487 2.974 0.000
2.974 0.000 1.487
2.974 0.000 4.461
4.461 2.974 0.000
0.000 0.000 0.000
2.974 2.974 2.974
```

Summary:
Energy above the most stable polymorph in this dataset = 1.82 eV/f.u.
Density of states at the Fermi level = 0.707 states/eV per atom

***

(7)
SbBr2 | SCAN | single point on PBEsol structure

Cell and atoms, written as POSCAR:
```
SbBr2
1.0
5.022 0.000 0.000
-2.511 4.349 0.000
0.000 0.000 3.558
Sb Br
1 2
Cartesian
0.000 0.000 0.000
0.000 2.899 0.790
2.511 1.450 2.767
```

Summary:
Energy above the most stable polymorph in this dataset = 0.79 eV/f.u.
Density of states at the Fermi level = 0.204 states/eV per atom

***

(8)
Sb3Br | SCAN | single point on PBEsol structure

Cell and atoms, written as POSCAR:
```
Sb3Br
1.0
3.425 0.000 0.000
-1.713 2.966 0.000
0.000 0.000 10.100
Sb Br
3 1
Cartesian
0.000 0.000 0.000
0.000 1.977 2.564
0.000 1.977 7.537
0.000 0.000 5.050
```

Summary:
Energy above the most stable polymorph in this dataset = 0.63 eV/f.u.
Density of states at the Fermi level = 0.627 states/eV per atom

***

(9)
SbBr2 | SCAN | single point on PBEsol structure

Cell and atoms, written as POSCAR:
```
SbBr2
1.0
7.223 -1.981 0.000
7.223 1.981 0.000
-2.199 0.000 6.839
Sb Br
2 4
Cartesian
-0.064 0.000 1.560
12.312 0.000 5.278
3.121 0.000 5.041
5.160 0.000 1.649
7.089 0.000 5.189
9.127 0.000 1.797
```

Summary:
Energy above the most stable polymorph in this dataset = 0.00 eV/f.u.

***

(10)
SbBr | SCAN | single point on PBEsol structure

Cell and atoms, written as POSCAR:
```
SbBr
1.0
4.428 0.000 0.000
0.000 4.290 0.000
-1.465 0.000 7.867
Sb Br
2 2
Cartesian
0.258 1.072 3.859
2.705 3.217 4.008
0.455 1.072 6.401
2.508 3.217 1.466
```

Summary:
Energy above the most stable polymorph in this dataset = 0.00 eV/f.u.

***

(11)
Sb3Br | SCAN | single point on PBEsol structure

Cell and atoms, written as POSCAR:
```
Sb3Br
1.0
3.771 0.000 0.000
0.000 3.771 0.000
0.000 0.000 7.572
Sb Br
3 1
Cartesian
0.000 0.000 0.000
1.886 1.886 1.601
1.886 1.886 5.971
0.000 0.000 3.786
```

Summary:
Energy above the most stable polymorph in this dataset = 0.00 eV/f.u.
Density of states at the Fermi level = 0.430 states/eV per atom

***

(12)
ScSbBr | SCAN | single point on PBEsol structure

Cell and atoms, written as POSCAR:
```
ScSbBr
1.0
0.000 3.545 3.545
3.545 0.000 3.545
3.545 3.545 0.000
Sc Sb Br
1 1 1
Cartesian
0.000 0.000 0.000
1.773 1.773 1.773
3.545 3.545 3.545
```

Summary:
Density of states at the Fermi level = 1.856 states/eV per atom

***

Computed raw formation energy (eV/atom) in order:
0.34; -0.83; 0.04; 0.17; 0.01; 0.50; -0.17; 0.20; -0.44; -0.29; 0.04; -0.04
Computed total energy (eV per atom) in order:
-13.9995; -23.4532; -32.7689; -32.6402; -28.3484; -32.3133; -25.5664; -32.6122; -25.8296; -28.6507; -32.7693; -23.6904